No. 1
The following is a PBE calculation of an optimized crystal structure of GdDyErAl, from Alexandria.

```
GdDyErAl
1.0
-4.4878 1.2978 2.5820
-3.4046 -3.8197 1.5196
-0.5404 -1.1888 5.1755
Gd Al Er Dy
1 1 1 1
Direct
0.2500 0.2500 0.2500
0.5000 0.5000 0.5000
0.0000 0.0000 0.0000
0.7500 0.7500 0.7500
```

Properties
raw total energy: -27.3 eV per cell
SG: F-43m

***

No. 2
The following is a PBE calculation of an optimized crystal structure of DyErAlGe, from Alexandria.

```
DyErAlGe
1.0
4.3433 0.0000 0.0000
0.0000 4.0028 0.0000
-2.1716 0.0000 5.4141
Er Ge Dy Al
1 1 1 1
Direct
0.8583 0.5000 0.7166
0.5779 0.5000 0.1558
0.1401 0.0000 0.2803
0.4237 0.0000 0.8473
```

Properties
raw total energy: -20.3 eV per cell
SG: Amm2